Material: NbSbF2
Method: DFT, PBE
State: relaxed

Results
As for the relative energy among the computed polymorphs: 0.00 kJ/mol of atoms. The calculation puts the theoretical density at 5.25 g cm⁻³. As for the uncorrected formation energy: -1405 meV per atom. The space-group type is R-3m.

```
4
Lattice="1.482 0.856 10.513 -1.482 0.856 10.513 0.000 -1.711 10.513" Properties=species:S:1:pos:R:3 pbc="T T T"
Nb 0.000 0.000 0.000
Sb 0.000 0.000 15.769
F 0.000 0.000 12.002
F 0.000 0.000 19.537
```

Material: Nb2SbF2
Method: DFT, PBE
State: relaxed

Results
As for the relative energy among the computed polymorphs: 34.38 kJ/mol of atoms. The calculation puts the theoretical density at 7.31 g cm⁻³. As for the uncorrected formation energy: -832 meV per atom. The space-group type is I4/mmm.

```
5
Lattice="-2.173 2.173 4.156 2.173 -2.173 4.156 2.173 2.173 -4.156" Properties=species:S:1:pos:R:3 pbc="T T T"
Nb 2.173 0.000 2.078
Nb 0.000 2.173 2.078
Sb 0.000 0.000 0.000
F 0.000 0.000 2.999
F 0.000 0.000 5.314
```